1.
Material: SrBe4W
Method: DFT, PBE-GGA
State: relaxed

Computed properties:
The value obtained for the spin magnetization is 0.01 μB per cell. The space group is F-43m. As for the volume: 13.22 Å³/atom. The formation energy comes out at 14.4 kcal/mol of atoms.

Cell: 4.822 4.822 4.822 Å, 60.00 60.00 60.00°
Fractional coordinates of all 6 atoms:
Sr: 0.000 0.000 0.000
Be: 0.380 0.380 0.380
Be: 0.380 0.380 0.860
Be: 0.380 0.860 0.380
Be: 0.860 0.380 0.380
W: 0.750 0.750 0.750



2.
Material: SrBe2W
Method: DFT, PBE-GGA
State: relaxed

Computed properties:
Its energy relative to the lowest polymorph listed for this composition is 644 meV/atom. The value obtained for the spin magnetization is 3.94 μB per cell. The space group is I4_1/amd. As for the volume: 21.69 Å³/atom. The formation energy comes out at 25.5 kcal/mol of atoms.

Cell: 8.855 8.855 8.855 Å, 149.96 149.96 43.00°
Fractional coordinates of all 8 atoms:
Sr: 0.375 0.625 0.750
Sr: 0.625 0.375 0.250
Be: 0.000 0.000 0.000
Be: 0.000 0.000 0.500
Be: 0.000 0.500 0.000
Be: 0.500 0.000 0.500
W: 0.125 0.875 0.250
W: 0.875 0.125 0.750



3.
Material: SrBe2W
Method: DFT, PBE-GGA
State: relaxed

Computed properties:
Its energy relative to the lowest polymorph listed for this composition is 785 meV/atom. The value obtained for the spin magnetization is 0.00 μB per cell. The space group is I-4m2. As for the volume: 16.74 Å³/atom. The formation energy comes out at 28.8 kcal/mol of atoms.

Cell: 5.249 5.249 5.249 Å, 136.79 136.79 62.76°
Fractional coordinates of all 4 atoms:
Sr: 0.000 0.000 0.000
Be: 0.500 0.500 0.000
Be: 0.750 0.250 0.500
W: 0.250 0.750 0.500



4.
Material: Sr3BeW
Method: DFT, PBE-GGA
State: relaxed

Computed properties:
Its energy relative to the lowest polymorph listed for this composition is 88 meV/atom. The value obtained for the spin magnetization is 0.00 μB per cell. The space group is Pm-3m. As for the volume: 39.07 Å³/atom. The formation energy comes out at 33.0 kcal/mol of atoms.

Cell: 5.803 5.803 5.803 Å, 90.00 90.00 90.00°
Fractional coordinates of all 5 atoms:
Sr: 0.000 0.000 0.500
Sr: 0.000 0.500 0.000
Sr: 0.500 0.000 0.000
Be: 0.500 0.500 0.500
W: 0.000 0.000 0.000



5.
Material: SrBe2W
Method: DFT, PBE-GGA
State: relaxed

Computed properties:
Its energy relative to the lowest polymorph listed for this composition is 1061 meV/atom. The value obtained for the spin magnetization is 2.09 μB per cell. The space group is F-43m. As for the volume: 17.70 Å³/atom. The formation energy comes out at 35.1 kcal/mol of atoms.

Cell: 4.644 4.644 4.644 Å, 60.00 60.00 60.00°
Fractional coordinates of all 4 atoms:
Sr: 0.000 0.000 0.000
Be: 0.250 0.250 0.250
Be: 0.500 0.500 0.500
W: 0.750 0.750 0.750



6.
Material: SrBe2W
Method: DFT, PBE-GGA
State: relaxed

Computed properties:
Its energy relative to the lowest polymorph listed for this composition is 128 meV/atom. The value obtained for the spin magnetization is 0.00 μB per cell. The space group is Pm. As for the volume: 18.21 Å³/atom. The formation energy comes out at 13.6 kcal/mol of atoms.

Cell: 3.662 3.385 6.153 Å, 90.00 107.25 90.00°
Fractional coordinates of all 4 atoms:
Sr: 0.000 0.000 0.000
Be: 0.651 0.500 0.305
Be: 0.753 0.000 0.510
W: 0.270 0.500 0.542



7.
Material: SrBe2W
Method: DFT, PBE-GGA
State: relaxed

Computed properties:
Its energy relative to the lowest polymorph listed for this composition is 240 meV/atom. The value obtained for the spin magnetization is 0.00 μB per cell. The space group is C2/m. As for the volume: 18.27 Å³/atom. The formation energy comes out at 16.2 kcal/mol of atoms.

Cell: 4.491 4.491 6.136 Å, 100.77 100.77 37.03°
Fractional coordinates of all 4 atoms:
Sr: 0.000 0.000 0.000
Be: 0.241 0.241 0.629
Be: 0.759 0.759 0.371
W: 0.500 0.500 0.500



8.
Material: SrBe2W
Method: DFT, PBE-GGA
State: relaxed

Computed properties:
Its energy relative to the lowest polymorph listed for this composition is 453 meV/atom. The value obtained for the spin magnetization is 0.00 μB per cell. The space group is Imm2. As for the volume: 16.40 Å³/atom. The formation energy comes out at 21.1 kcal/mol of atoms.

Cell: 5.609 5.609 5.609 Å, 151.87 127.41 60.70°
Fractional coordinates of all 4 atoms:
Sr: 0.000 0.000 0.000
Be: 0.518 0.518 0.000
Be: 0.717 0.217 0.500
W: 0.298 0.798 0.500